Model a:
ZnMo3: relaxed, GGA-PBEsol.

a = 4.900 Å, b = 4.900 Å, c = 4.900 Å
α = 90.00°, β = 90.00°, γ = 90.00°
Fractional positions:
Zn1 0.000 0.000 0.000
Zn2 0.500 0.500 0.500
Mo1 0.000 0.250 0.500
Mo2 0.000 0.750 0.500
Mo3 0.250 0.500 0.000
Mo4 0.500 0.000 0.250
Mo5 0.500 0.000 0.750
Mo6 0.750 0.500 0.000

Space-group type: No. 223
Density of states at the Fermi level, states/eV/f.u.: 3.36
Volume, Å³ per cell: 117.6
Spin magnetization, μB/f.u.: 0.0

---

Model b:
ZnMo3: relaxed, GGA-PBEsol.

a = 2.737 Å, b = 2.737 Å, c = 28.004 Å
α = 90.00°, β = 90.00°, γ = 120.00°
Fractional positions:
Zn1 0.000 0.000 0.000
Zn2 0.333 0.667 0.667
Zn3 0.667 0.333 0.333
Mo1 0.000 0.000 0.251
Mo2 0.000 0.000 0.500
Mo3 0.000 0.000 0.749
Mo4 0.333 0.667 0.167
Mo5 0.333 0.667 0.415
Mo6 0.333 0.667 0.918
Mo7 0.667 0.333 0.082
Mo8 0.667 0.333 0.585
Mo9 0.667 0.333 0.833

Space-group type: No. 166
Density of states at the Fermi level, states/eV/f.u.: 4.50
Volume, Å³ per cell: 181.7
Spin magnetization, μB/f.u.: 0.0

---

The most stable of them is model a.

---

Model a:
Mg3Sb: relaxed, GGA-PBEsol.

a = 5.648 Å, b = 5.648 Å, c = 5.648 Å
α = 90.00°, β = 90.00°, γ = 90.00°
Fractional positions:
Mg1 0.000 0.000 0.500
Mg2 0.000 0.500 0.000
Mg3 0.500 0.000 0.000
Sb1 0.000 0.000 0.000

Space-group type: No. 221
Density of states at the Fermi level, states/eV/f.u.: 3.89
Volume, Å³ per cell: 180.2
Spin magnetization, μB/f.u.: 0.0

---

Model b:
Mg3Sb: relaxed, GGA-PBEsol.

a = 4.471 Å, b = 4.471 Å, c = 4.471 Å
α = 90.00°, β = 90.00°, γ = 90.00°
Fractional positions:
Mg1 0.000 0.000 0.500
Mg2 0.000 0.500 0.000
Mg3 0.500 0.000 0.000
Sb1 0.500 0.500 0.500

Space-group type: No. 221
Density of states at the Fermi level, states/eV/f.u.: 1.38
Volume, Å³ per cell: 89.4
Spin magnetization, μB/f.u.: 0.0

---

The most stable of them is model b.

---

Model a:
ScMoAu2: relaxed, GGA-PBEsol.

a = 2.909 Å, b = 2.909 Å, c = 8.020 Å
α = 90.00°, β = 90.00°, γ = 90.00°
Fractional positions:
Sc1 0.000 0.000 0.000
Mo1 0.000 0.000 0.500
Au1 0.500 0.500 0.256
Au2 0.500 0.500 0.744

Space-group type: No. 123
Density of states at the Fermi level, states/eV/f.u.: 3.82
Volume, Å³ per cell: 67.9
Spin magnetization, μB/f.u.: 0.0

---

Model b:
ScMoAu2: relaxed, GGA-PBEsol.

a = 9.452 Å, b = 2.925 Å, c = 5.028 Å
α = 90.00°, β = 101.24°, γ = 90.00°
Fractional positions:
Sc1 0.000 0.000 0.000
Sc2 0.500 0.500 0.000
Mo1 0.249 0.500 0.295
Mo2 0.749 0.000 0.295
Au1 0.247 0.000 0.781
Au2 0.496 0.000 0.492
Au3 0.747 0.500 0.781
Au4 0.996 0.500 0.492

Space-group type: No. 8
Density of states at the Fermi level, states/eV/f.u.: 4.12
Volume, Å³ per cell: 136.3
Spin magnetization, μB/f.u.: 0.0

---

The most stable of them is model a.

---

Model a:
OsRhW2: relaxed, GGA-PBEsol.

a = 3.908 Å, b = 3.908 Å, c = 3.832 Å
α = 90.00°, β = 90.00°, γ = 90.00°
Fractional positions:
Os1 0.000 0.000 0.000
Rh1 0.500 0.500 0.000
W1 0.000 0.500 0.500
W2 0.500 0.000 0.500

Space-group type: No. 123
Density of states at the Fermi level, states/eV/f.u.: 2.94
Volume, Å³ per cell: 58.5
Spin magnetization, μB/f.u.: 0.0

---

Model b:
OsRhW2: relaxed, GGA-PBEsol.

a = 2.747 Å, b = 3.881 Å, c = 5.497 Å
α = 90.00°, β = 90.00°, γ = 90.00°
Fractional positions:
Os1 0.000 0.000 0.000
Rh1 0.000 0.000 0.500
W1 0.500 0.500 0.247
W2 0.500 0.500 0.753

Space-group type: No. 47
Density of states at the Fermi level, states/eV/f.u.: 2.98
Volume, Å³ per cell: 58.6
Spin magnetization, μB/f.u.: 0.0

---

The most stable of them is model a.

---

Model a:
MgCd2Ag: relaxed, GGA-PBEsol.

a = 3.088 Å, b = 4.565 Å, c = 5.756 Å
α = 90.00°, β = 105.04°, γ = 90.00°
Fractional positions:
Mg1 0.000 0.000 0.000
Cd1 0.338 0.500 0.681
Cd2 0.733 0.000 0.471
Ag1 0.588 0.500 0.185

Space-group type: No. 6
Density of states at the Fermi level, states/eV/f.u.: 1.17
Volume, Å³ per cell: 78.4
Spin magnetization, μB/f.u.: 0.0

---

Model b:
MgCd2Ag: relaxed, GGA-PBEsol.

a = 3.363 Å, b = 3.689 Å, c = 6.180 Å
α = 90.00°, β = 90.00°, γ = 90.00°
Fractional positions:
Mg1 0.000 0.000 0.000
Cd1 0.000 0.000 0.476
Cd2 0.500 0.500 0.739
Ag1 0.500 0.500 0.228

Space-group type: No. 25
Density of states at the Fermi level, states/eV/f.u.: 1.08
Volume, Å³ per cell: 76.7
Spin magnetization, μB/f.u.: 0.0

---

The most stable of them is model b.

---

Model a:
BeC: relaxed, GGA-PBEsol.

a = 5.092 Å, b = 5.092 Å, c = 1.905 Å
α = 90.00°, β = 90.00°, γ = 120.00°
Fractional positions:
Be1 0.000 0.362 0.000
Be2 0.362 0.000 0.000
Be3 0.638 0.638 0.000
C1 0.000 0.000 0.000
C2 0.333 0.667 0.500
C3 0.667 0.333 0.500

Space-group type: No. 189
Density of states at the Fermi level, states/eV/f.u.: 0.51
Volume, Å³ per cell: 42.8
Spin magnetization, μB/f.u.: 0.0

---

Model b:
BeC: relaxed, GGA-PBEsol.

a = 4.134 Å, b = 4.134 Å, c = 4.134 Å
α = 90.00°, β = 90.00°, γ = 90.00°
Fractional positions:
Be1 0.000 0.000 0.000
Be2 0.000 0.500 0.500
Be3 0.500 0.000 0.500
Be4 0.500 0.500 0.000
C1 0.250 0.250 0.250
C2 0.250 0.750 0.750
C3 0.750 0.250 0.750
C4 0.750 0.750 0.250

Space-group type: No. 216
Density of states at the Fermi level, states/eV/f.u.: 1.20
Volume, Å³ per cell: 70.6
Spin magnetization, μB/f.u.: 0.0

---

The most stable of them is model a.

---

Model a:
La2YSc: relaxed, GGA-PBEsol.

a = 7.181 Å, b = 9.410 Å, c = 3.600 Å
α = 90.00°, β = 90.00°, γ = 90.00°
Fractional positions:
La1 0.250 0.250 0.000
La2 0.250 0.750 0.000
La3 0.750 0.250 0.000
La4 0.750 0.750 0.000
Y1 0.000 0.000 0.500
Y2 0.500 0.500 0.500
Sc1 0.000 0.500 0.500
Sc2 0.500 0.000 0.500

Space-group type: No. 65
Density of states at the Fermi level, states/eV/f.u.: 5.30
Volume, Å³ per cell: 243.3
Spin magnetization, μB/f.u.: 0.0

---

Model b:
La2YSc: relaxed, GGA-PBEsol.

a = 3.774 Å, b = 5.693 Å, c = 11.490 Å
α = 90.00°, β = 90.00°, γ = 90.00°
Fractional positions:
La1 0.000 0.000 0.000
La2 0.000 0.500 0.230
La3 0.500 0.000 0.730
La4 0.500 0.500 0.500
Y1 0.000 0.000 0.464
Y2 0.500 0.500 0.964
Sc1 0.000 0.500 0.735
Sc2 0.500 0.000 0.235

Space-group type: No. 44
Density of states at the Fermi level, states/eV/f.u.: 6.36
Volume, Å³ per cell: 246.9
Spin magnetization, μB/f.u.: 0.0

---

The most stable of them is model a.

---

Model a:
CuPtAu2: relaxed, GGA-PBEsol.

a = 3.975 Å, b = 3.975 Å, c = 7.682 Å
α = 90.00°, β = 90.00°, γ = 90.00°
Fractional positions:
Cu1 0.000 0.000 0.000
Cu2 0.500 0.500 0.500
Pt1 0.000 0.500 0.250
Pt2 0.500 0.000 0.750
Au1 0.000 0.000 0.500
Au2 0.000 0.500 0.750
Au3 0.500 0.000 0.250
Au4 0.500 0.500 0.000

Space-group type: No. 119
Density of states at the Fermi level, states/eV/f.u.: 1.68
Volume, Å³ per cell: 121.4
Spin magnetization, μB/f.u.: 0.0

---

Model b:
CuPtAu2: relaxed, GGA-PBEsol.

a = 2.800 Å, b = 2.800 Å, c = 26.792 Å
α = 90.00°, β = 90.00°, γ = 120.00°
Fractional positions:
Cu1 0.000 0.000 0.000
Cu2 0.333 0.667 0.667
Cu3 0.667 0.333 0.333
Pt1 0.000 0.000 0.500
Pt2 0.333 0.667 0.167
Pt3 0.667 0.333 0.833
Au1 0.000 0.000 0.255
Au2 0.000 0.000 0.745
Au3 0.333 0.667 0.412
Au4 0.333 0.667 0.922
Au5 0.667 0.333 0.078
Au6 0.667 0.333 0.588

Space-group type: No. 166
Density of states at the Fermi level, states/eV/f.u.: 1.42
Volume, Å³ per cell: 181.8
Spin magnetization, μB/f.u.: 0.0

---

The most stable of them is model a.

---

Model a:
Cd2AgRh: relaxed, GGA-PBEsol.

a = 2.951 Å, b = 4.033 Å, c = 5.707 Å
α = 90.00°, β = 90.00°, γ = 90.00°
Fractional positions:
Cd1 0.000 0.000 0.000
Cd2 0.500 0.500 0.288
Ag1 0.500 0.500 0.762
Rh1 0.000 0.000 0.505

Space-group type: No. 25
Density of states at the Fermi level, states/eV/f.u.: 1.93
Volume, Å³ per cell: 67.9
Spin magnetization, μB/f.u.: 0.0

---

Model b:
Cd2AgRh: relaxed, GGA-PBEsol.

a = 4.184 Å, b = 4.184 Å, c = 3.820 Å
α = 90.00°, β = 90.00°, γ = 90.00°
Fractional positions:
Cd1 0.000 0.500 0.000
Cd2 0.500 0.000 0.000
Ag1 0.000 0.000 0.500
Rh1 0.500 0.500 0.500

Space-group type: No. 123
Density of states at the Fermi level, states/eV/f.u.: 0.83
Volume, Å³ per cell: 66.9
Spin magnetization, μB/f.u.: 0.0

---

The most stable of them is model b.

---

Model a:
Li2SbPb: relaxed, GGA-PBEsol.

a = 6.976 Å, b = 6.976 Å, c = 6.976 Å
α = 90.00°, β = 90.00°, γ = 90.00°
Fractional positions:
Li1 0.250 0.250 0.250
Li2 0.250 0.250 0.750
Li3 0.250 0.750 0.250
Li4 0.250 0.750 0.750
Li5 0.750 0.250 0.250
Li6 0.750 0.250 0.750
Li7 0.750 0.750 0.250
Li8 0.750 0.750 0.750
Sb1 0.000 0.000 0.000
Sb2 0.000 0.500 0.500
Sb3 0.500 0.000 0.500
Sb4 0.500 0.500 0.000
Pb1 0.000 0.000 0.500
Pb2 0.000 0.500 0.000
Pb3 0.500 0.000 0.000
Pb4 0.500 0.500 0.500

Space-group type: No. 225
Density of states at the Fermi level, states/eV/f.u.: 1.70
Volume, Å³ per cell: 339.5
Spin magnetization, μB/f.u.: 0.0

---

Model b:
Li2SbPb: relaxed, GGA-PBEsol.

a = 4.587 Å, b = 4.587 Å, c = 8.232 Å
α = 90.00°, β = 90.00°, γ = 90.00°
Fractional positions:
Li1 0.000 0.500 0.250
Li2 0.000 0.500 0.750
Li3 0.500 0.000 0.250
Li4 0.500 0.000 0.750
Sb1 0.000 0.000 0.000
Sb2 0.500 0.500 0.500
Pb1 0.000 0.000 0.500
Pb2 0.500 0.500 0.000

Space-group type: No. 139
Density of states at the Fermi level, states/eV/f.u.: 0.60
Volume, Å³ per cell: 173.2
Spin magnetization, μB/f.u.: 0.0

---

The most stable of them is model b.

---

Model a:
Li3VO3F2: relaxed, GGA-PBEsol.

a = 4.936 Å, b = 5.063 Å, c = 7.559 Å
α = 101.10°, β = 108.60°, γ = 102.19°
Fractional positions:
Li1 0.000 0.000 0.000
Li2 0.051 0.496 0.505
Li3 0.255 0.650 0.208
Li4 0.356 0.197 0.383
Li5 0.652 0.801 0.595
Li6 0.883 0.422 0.804
V1 0.273 0.045 0.709
V2 0.643 0.347 0.129
O1 0.051 0.777 0.748
O2 0.267 0.880 0.485
O3 0.294 0.332 0.944
O4 0.627 0.545 0.327
O5 0.634 0.076 0.852
O6 0.982 0.277 0.225
F1 0.418 0.005 0.163
F2 0.450 0.429 0.632
F3 0.858 0.639 0.047
F4 0.906 0.171 0.585

Space-group type: No. 1
Density of states at the Fermi level, states/eV/f.u.: 0.00
Volume, Å³ per cell: 168.0
Spin magnetization, μB/f.u.: 0.0

---

Model b:
Li3VO3F2: relaxed, GGA-PBEsol.

a = 5.252 Å, b = 5.252 Å, c = 7.922 Å
α = 95.80°, β = 95.80°, γ = 64.76°
Fractional positions:
Li1 0.014 0.383 0.365
Li2 0.163 0.837 0.500
Li3 0.213 0.561 0.805
Li4 0.383 0.014 0.865
Li5 0.561 0.213 0.305
Li6 0.837 0.163 0.000
V1 0.416 0.762 0.180
V2 0.762 0.416 0.680
O1 0.009 0.331 0.846
O2 0.191 0.815 0.007
O3 0.331 0.009 0.346
O4 0.454 0.711 0.688
O5 0.711 0.454 0.188
O6 0.815 0.191 0.507
F1 0.231 0.573 0.301
F2 0.573 0.231 0.801
F3 0.600 0.968 0.087
F4 0.968 0.600 0.587

Space-group type: No. 9
Density of states at the Fermi level, states/eV/f.u.: 0.00
Volume, Å³ per cell: 196.3
Spin magnetization, μB/f.u.: 0.0

---

The most stable of them is model b.

---

Model a:
BaSrMo2: relaxed, GGA-PBEsol.

a = 3.771 Å, b = 3.771 Å, c = 7.641 Å
α = 90.00°, β = 90.00°, γ = 90.00°
Fractional positions:
Ba1 0.000 0.000 0.000
Sr1 0.000 0.000 0.500
Mo1 0.500 0.500 0.269
Mo2 0.500 0.500 0.731

Space-group type: No. 123
Density of states at the Fermi level, states/eV/f.u.: 4.15
Volume, Å³ per cell: 108.7
Spin magnetization, μB/f.u.: 5.6

---

Model b:
BaSrMo2: relaxed, GGA-PBEsol.

a = 3.577 Å, b = 4.937 Å, c = 6.855 Å
α = 90.00°, β = 90.00°, γ = 90.00°
Fractional positions:
Ba1 0.000 0.000 0.000
Sr1 0.000 0.000 0.500
Mo1 0.500 0.500 0.349
Mo2 0.500 0.500 0.651

Space-group type: No. 47
Density of states at the Fermi level, states/eV/f.u.: 4.08
Volume, Å³ per cell: 121.1
Spin magnetization, μB/f.u.: 0.0

---

The most stable of them is model b.

---

Model a:
PbC: relaxed, GGA-PBEsol.

a = 2.862 Å, b = 2.862 Å, c = 33.213 Å
α = 90.00°, β = 90.00°, γ = 120.00°
Fractional positions:
Pb1 0.000 0.000 0.112
Pb2 0.000 0.000 0.888
Pb3 0.333 0.667 0.555
Pb4 0.333 0.667 0.778
Pb5 0.667 0.333 0.222
Pb6 0.667 0.333 0.445
C1 0.000 0.000 0.333
C2 0.000 0.000 0.667
C3 0.333 0.667 0.000
C4 0.333 0.667 0.333
C5 0.667 0.333 0.000
C6 0.667 0.333 0.667

Space-group type: No. 166
Density of states at the Fermi level, states/eV/f.u.: 0.65
Volume, Å³ per cell: 235.6
Spin magnetization, μB/f.u.: 0.0

---

Model b:
PbC: relaxed, GGA-PBEsol.

a = 4.899 Å, b = 4.899 Å, c = 4.899 Å
α = 90.00°, β = 90.00°, γ = 90.00°
Fractional positions:
Pb1 0.000 0.000 0.500
Pb2 0.000 0.500 0.000
Pb3 0.500 0.000 0.000
C1 0.000 0.500 0.500
C2 0.500 0.000 0.500
C3 0.500 0.500 0.000

Space-group type: No. 221
Density of states at the Fermi level, states/eV/f.u.: 1.44
Volume, Å³ per cell: 117.5
Spin magnetization, μB/f.u.: 0.5

---

The most stable of them is model a.

---

Model a:
SnPbS2: relaxed, GGA-PBEsol.

a = 4.059 Å, b = 4.202 Å, c = 11.306 Å
α = 90.00°, β = 90.00°, γ = 90.00°
Fractional positions:
Sn1 0.000 0.136 0.000
Sn2 0.000 0.864 0.500
Pb1 0.500 0.349 0.239
Pb2 0.500 0.651 0.739
S1 0.000 0.200 0.775
S2 0.000 0.800 0.275
S3 0.500 0.276 0.485
S4 0.500 0.724 0.985

Space-group type: No. 26
Volume, Å³ per cell: 192.8
Spin magnetization, μB/f.u.: 0.0

---

Model b:
SnPbS2: relaxed, GGA-PBEsol.

a = 4.108 Å, b = 4.108 Å, c = 20.132 Å
α = 90.00°, β = 90.00°, γ = 120.00°
Fractional positions:
Sn1 0.000 0.000 0.000
Sn2 0.333 0.667 0.667
Sn3 0.667 0.333 0.333
Pb1 0.000 0.000 0.500
Pb2 0.333 0.667 0.167
Pb3 0.667 0.333 0.833
S1 0.000 0.000 0.253
S2 0.000 0.000 0.747
S3 0.333 0.667 0.414
S4 0.333 0.667 0.920
S5 0.667 0.333 0.080
S6 0.667 0.333 0.586

Space-group type: No. 166
Density of states at the Fermi level, states/eV/f.u.: 0.04
Volume, Å³ per cell: 294.3
Spin magnetization, μB/f.u.: 0.0

---

The most stable of them is model a.